Sm4HgTe2S (PBE, relaxed); D(E_F) = 3.6 states/eV/cell; formation energy without anion corrections = -10.35 eV per formula unit; size of the total moment = 0.0 μB/f.u.
1.0
-3.4858 -2.3606 0.2045
0.1196 -0.8267 -7.5019
4.0293 -5.6830 3.0807
Sm Te S Hg
4 2 1 1
direct
0.0000 0.7513 0.2366
0.5000 0.2286 0.2202
0.5000 0.7714 0.7798
0.0000 0.2487 0.7634
0.5000 0.0000 0.5000
0.0000 0.5000 0.5000
0.0000 0.0000 0.0000
0.5000 0.5000 0.0000